No. 1
{"formula": "KBa2Sr", "functional": "PBE", "state": "relaxed", "crystal_system": "monoclinic", "relative_energy_mev_per_atom": 31, "e_tot_ev_per_atom": -1.580, "lattice": [[7.4355, -2.1960, 0.0000], [7.4355, 2.1960, 0.0000], [-1.2070, 0.0000, 7.7525]], "species": ["K", "Ba", "Ba", "Sr"], "fractional_positions": [[0.0000, 0.0000, 0.0000], [0.2486, 0.2486, 0.7448], [0.4954, 0.4954, 0.4936], [0.7474, 0.7474, 0.2563]]}


No. 2
{"formula": "TeIrPt2", "functional": "PBE", "state": "relaxed", "crystal_system": "orthorhombic", "formation_energy_uncorrected_ev_per_fu": 0.48, "e_tot_ev_per_atom": -5.901, "lattice": [[0.0000, 2.7452, 4.8263], [2.7077, 0.0000, 4.8263], [2.7077, 2.7452, 0.0000]], "species": ["Te", "Ir", "Pt", "Pt"], "fractional_positions": [[0.0000, 0.0000, 0.0000], [0.5000, 0.5000, 0.5000], [0.0000, 0.5000, 0.5000], [0.5000, 0.0000, 0.0000]]}